1.
TaNb2CoBi: optimized geometry, GGA-PBE.

Calculated values
DOS at the Fermi energy in states/eV per cell: 2.97
ΔE to the lowest computed polymorph in meV/atom: 0
Crystal system: tetragonal
V in A^3/atom: 20.2
Final energy in eV/cell: -38.48
Energy of formation from the pure elements in eV per atom: 0.90

POSCAR file:
```
TaNb2CoBi
1.0
4.661 0.000 0.000
0.000 4.661 0.000
0.000 0.000 4.659
Ta Nb Co Bi
1 2 1 1
Cartesian
0.000 0.000 0.000
0.000 2.331 2.329
2.331 0.000 2.329
2.331 2.331 2.329
2.331 2.331 0.000
```

2.
TaNb2CoBi: optimized geometry, GGA-PBE.

Calculated values
DOS at the Fermi energy in states/eV per cell: 10.27
ΔE to the lowest computed polymorph in meV/atom: 1640
Crystal system: tetragonal
V in A^3/atom: 26.5
Final energy in eV/cell: -30.28
Energy of formation from the pure elements in eV per atom: 2.54

POSCAR file:
```
TaNb2CoBi
1.0
5.092 0.000 0.000
0.000 5.092 0.000
0.000 0.000 5.103
Ta Nb Co Bi
1 2 1 1
Cartesian
0.000 0.000 0.000
0.000 2.546 2.552
2.546 0.000 2.552
2.546 2.546 0.000
0.000 0.000 2.552
```

3.
Nd5CoBi4: optimized geometry, GGA-PBE.

Calculated values
DOS at the Fermi energy in states/eV per cell: 1.28
Crystal system: tetragonal
V in A^3/atom: 32.8
Final energy in eV/cell: -52.48
Energy of formation from the pure elements in eV per atom: -0.60

POSCAR file:
```
Nd5CoBi4
1.0
-5.029 5.029 3.239
5.029 -5.029 3.239
5.029 5.029 -3.239
Nd Co Bi
5 1 4
Cartesian
0.000 0.000 0.000
5.992 2.187 0.786
2.187 4.066 0.786
2.842 0.963 4.025
-0.963 2.842 4.025
0.000 0.000 3.808
7.053 -0.919 0.791
3.004 0.919 0.791
-0.919 3.004 0.791
0.919 7.053 0.791
```

4.
Nd7Co2Bi2: optimized geometry, GGA-PBE.

Calculated values
DOS at the Fermi energy in states/eV per cell: 11.91
Crystal system: orthorhombic
V in A^3/atom: 29.7
Final energy in eV/cell: -58.82
Energy of formation from the pure elements in eV per atom: -0.32

POSCAR file:
```
Nd7Co2Bi2
1.0
-1.881 8.390 5.178
1.881 -8.390 5.178
1.881 8.390 -5.178
Nd Co Bi
7 2 2
Cartesian
0.000 0.000 0.000
1.881 6.139 -0.641
1.881 3.056 1.311
0.000 2.251 4.536
0.000 5.765 2.956
0.000 11.015 2.956
0.000 5.334 6.489
1.881 -4.425 4.610
1.881 4.425 4.610
1.881 0.000 2.780
0.000 0.000 7.019
```

5.
NdCoBi2: optimized geometry, GGA-PBE.

Calculated values
DOS at the Fermi energy in states/eV per cell: 4.73
Crystal system: trigonal
V in A^3/atom: 28.2
Final energy in eV/cell: -18.37
Energy of formation from the pure elements in eV per atom: 0.32

POSCAR file:
```
NdCoBi2
1.0
1.753 1.012 10.613
-1.753 1.012 10.613
0.000 -2.024 10.613
Nd Co Bi
1 1 2
Cartesian
0.000 0.000 0.000
0.000 0.000 15.920
0.000 0.000 13.378
0.000 0.000 18.461
```

6.
NdCoBi: optimized geometry, GGA-PBE.

Calculated values
DOS at the Fermi energy in states/eV per cell: 6.19
Crystal system: trigonal
V in A^3/atom: 26.1
Final energy in eV/cell: -32.51
Energy of formation from the pure elements in eV per atom: -0.17

POSCAR file:
```
NdCoBi
1.0
2.004 1.157 11.240
-2.004 1.157 11.240
0.000 -2.314 11.240
Nd Co Bi
2 2 2
Cartesian
0.000 0.000 1.875
0.000 0.000 31.843
0.000 0.000 11.248
0.000 0.000 22.470
0.000 0.000 6.704
0.000 0.000 27.015
```